(1)
CoPBr | SCAN | PBEsol geometry

Properties
As for the energy: -15.10 eV per atom. The calculation puts the energy relative to the lowest polymorph listed for this composition at 326.2 meV/atom. The value obtained for the uncorrected formation energy is 0.62 eV/atom.

Cell lengths 5.771, 5.771, 5.771 Å; angles 90.00, 90.00, 90.00 degrees
Space group F-43m (No. 216)
Inequivalent atoms, fractional coordinates:
Co  0.000  0.000  0.000
P  0.250  0.250  0.250
Br  0.250  0.250  0.750

(2)
CoP2Br | SCAN | PBEsol geometry

Properties
As for the energy: -13.73 eV per atom. The calculation puts the energy relative to the lowest polymorph listed for this composition at 696.1 meV/atom. The value obtained for the uncorrected formation energy is 0.66 eV/atom.

Cell lengths 2.812, 4.403, 9.858 Å; angles 90.00, 90.00, 90.00 degrees
Space group Immm (No. 71)
Inequivalent atoms, fractional coordinates:
Co  0.000  0.000  0.000
P  0.000  0.500  0.311
Br  0.000  0.000  0.500

(3)
CoP2Br | SCAN | PBEsol geometry

Properties
As for the energy: -14.42 eV per atom. The calculation puts the energy relative to the lowest polymorph listed for this composition at 0.0 meV/atom. The value obtained for the uncorrected formation energy is -0.03 eV/atom.

Cell lengths 7.390, 3.225, 6.791 Å; angles 90.00, 111.20, 90.00 degrees
Space group Cm (No. 8)
Inequivalent atoms, fractional coordinates:
Co  0.000  0.000  0.000
P  0.268  0.000  0.940
P  0.412  0.000  0.730
Br  0.112  0.500  0.294

(4)
CoP2SBr | SCAN | PBEsol geometry

Properties
As for the energy: -12.73 eV per atom. The value obtained for the uncorrected formation energy is 0.71 eV/atom.

Cell lengths 4.302, 4.302, 4.578 Å; angles 90.00, 90.00, 90.00 degrees
Space group P4/mmm (No. 123)
Inequivalent atoms, fractional coordinates:
Co  0.000  0.000  0.000
P  0.000  0.500  0.000
S  0.000  0.000  0.500
Br  0.500  0.500  0.500

(5)
CoPb3Br | SCAN | PBEsol geometry

Properties
As for the energy: -52.82 eV per atom. The value obtained for the uncorrected formation energy is 0.00 eV/atom.

Cell lengths 5.061, 5.061, 5.061 Å; angles 90.00, 90.00, 90.00 degrees
Space group Pm-3m (No. 221)
Inequivalent atoms, fractional coordinates:
Co  0.000  0.000  0.000
Pb  0.000  0.000  0.500
Br  0.500  0.500  0.500

(6)
CoPbSe2Br | SCAN | PBEsol geometry

Properties
As for the energy: -30.66 eV per atom. The value obtained for the uncorrected formation energy is -0.12 eV/atom.

Cell lengths 4.694, 4.694, 4.952 Å; angles 90.00, 90.00, 90.00 degrees
Space group P4/mmm (No. 123)
Inequivalent atoms, fractional coordinates:
Co  0.000  0.000  0.000
Pb  0.500  0.500  0.500
Se  0.000  0.500  0.000
Br  0.000  0.000  0.500

(7)
CoSn2PbBr | SCAN | PBEsol geometry

Properties
As for the energy: -36.63 eV per atom. The value obtained for the uncorrected formation energy is 0.25 eV/atom.

Cell lengths 4.816, 4.816, 5.321 Å; angles 90.00, 90.00, 90.00 degrees
Space group P4/mmm (No. 123)
Inequivalent atoms, fractional coordinates:
Co  0.000  0.000  0.000
Sn  0.000  0.500  0.000
Pb  0.500  0.500  0.500
Br  0.000  0.000  0.500

(8)
Co3PdBr | SCAN | PBEsol geometry

Properties
As for the energy: -19.63 eV per atom. The value obtained for the uncorrected formation energy is 1.20 eV/atom.

Cell lengths 4.226, 4.226, 4.226 Å; angles 90.00, 90.00, 90.00 degrees
Space group Pm-3m (No. 221)
Inequivalent atoms, fractional coordinates:
Co  0.000  0.000  0.500
Pd  0.500  0.500  0.500
Br  0.000  0.000  0.000

(9)
Pr6CoBr10 | SCAN | PBEsol geometry

Properties
As for the energy: -29.51 eV per atom. The value obtained for the uncorrected formation energy is -1.76 eV/atom.

Cell lengths 7.516, 9.205, 9.402 Å; angles 109.54, 106.72, 97.12 degrees
Space group P-1 (No. 2)
Inequivalent atoms, fractional coordinates:
Pr  0.024  0.397  0.192
Pr  0.123  0.261  0.543
Pr  0.373  0.693  0.644
Co  0.000  0.500  0.500
Br  0.089  0.325  0.866
Br  0.195  0.135  0.233
Br  0.259  0.964  0.582
Br  0.373  0.780  0.969
Br  0.450  0.581  0.323

(10)
Pr3CoBr3 | SCAN | PBEsol geometry

Properties
As for the energy: -30.69 eV per atom. The value obtained for the uncorrected formation energy is -1.31 eV/atom.

Cell lengths 11.710, 11.710, 11.710 Å; angles 90.00, 90.00, 90.00 degrees
Space group I4_132 (No. 214)
Inequivalent atoms, fractional coordinates:
Pr  0.109  0.359  0.125
Co  0.125  0.125  0.125
Br  0.116  0.134  0.625

(11)
CoPtBr2 | SCAN | PBEsol geometry

Properties
As for the energy: -30.69 eV per atom. The calculation puts the energy relative to the lowest polymorph listed for this composition at 936.7 meV/atom. The value obtained for the uncorrected formation energy is 0.92 eV/atom.

Cell lengths 6.567, 6.567, 6.567 Å; angles 90.00, 90.00, 90.00 degrees
Space group F-43m (No. 216)
Inequivalent atoms, fractional coordinates:
Co  0.000  0.000  0.000
Pt  0.250  0.250  0.750
Br  0.000  0.000  0.500
Br  0.250  0.250  0.250

(12)
CoPtBr2 | SCAN | PBEsol geometry

Properties
As for the energy: -30.84 eV per atom. The calculation puts the energy relative to the lowest polymorph listed for this composition at 781.8 meV/atom. The value obtained for the uncorrected formation energy is 0.76 eV/atom.

Cell lengths 3.100, 3.100, 7.100 Å; angles 90.00, 90.00, 90.00 degrees
Space group P4/mmm (No. 123)
Inequivalent atoms, fractional coordinates:
Co  0.000  0.000  0.000
Pt  0.000  0.000  0.500
Br  0.500  0.500  0.223

Repeat the first record exactly.
CoPBr | SCAN | PBEsol geometry

Properties
As for the energy: -15.10 eV per atom. The calculation puts the energy relative to the lowest polymorph listed for this composition at 326.2 meV/atom. The value obtained for the uncorrected formation energy is 0.62 eV/atom.

Cell lengths 5.771, 5.771, 5.771 Å; angles 90.00, 90.00, 90.00 degrees
Space group F-43m (No. 216)
Inequivalent atoms, fractional coordinates:
Co  0.000  0.000  0.000
P  0.250  0.250  0.250
Br  0.250  0.250  0.750